[1]
Computed, not measured: a relaxed structure of DyHo3Tl at the PBE level of DFT.

**Space group**: Cmcm, No. 63
**Energy of formation**: -0.1183 eV per atom

Cell: 4.7978 4.7809 12.8606 Å, 90.00 79.25 90.00°
Positions (direct):
Dy1 0.4735 0.7500 0.7014
Dy2 0.1749 0.2500 0.2986
Ho1 0.7725 0.2500 0.1034
Ho2 0.3721 0.2500 0.9041
Ho3 0.5747 0.2500 0.4989
Ho4 0.2762 0.7500 0.0959
Ho5 0.8759 0.7500 0.8966
Ho6 0.0736 0.7500 0.5011
Tl1 0.6721 0.7500 0.3042
Tl2 0.9763 0.2500 0.6958



[2]
Computed, not measured: a relaxed structure of CrCu2Ni2 at the PBE level of DFT.

**Space group**: I4/mmm, No. 139
**Energy of formation**: 0.3842 eV per atom

Cell: 3.3213 3.3213 6.3381 Å, 105.19 105.19 90.00°
Positions (direct):
Cr1 0.0000 0.0000 0.0000
Cu1 0.7500 0.2500 0.5000
Cu2 0.2500 0.7500 0.5000
Ni1 0.4029 0.4029 0.8058
Ni2 0.5971 0.5971 0.1942



[3]
Computed, not measured: a relaxed structure of YSc2BMo at the PBE level of DFT.

**Space group**: P4/mmm, No. 123
**Energy of formation**: 1.2274 eV per atom

Cell: 4.8856 5.3704 4.8856 Å, 90.00 90.00 90.00°
Positions (direct):
Y1 0.0000 0.5000 0.0000
Sc1 0.0000 0.0000 0.5000
Sc2 0.5000 0.0000 0.0000
Mo1 0.0000 0.0000 0.0000
B1 0.5000 0.5000 0.5000



[4]
Computed, not measured: a relaxed structure of TbBe9Os2 at the PBE level of DFT.

**Space group**: P6_3/mmc, No. 194
**Energy of formation**: -0.2501 eV per atom

Cell: 4.4569 4.4569 14.3471 Å, 90.00 90.00 120.00°
Positions (direct):
Tb1 0.3333 0.6667 0.7500
Tb2 0.6667 0.3333 0.2500
Be1 0.0000 0.0000 0.0000
Be2 0.0000 0.0000 0.5000
Be3 0.0000 0.0000 0.2500
Be4 0.0000 0.0000 0.7500
Be5 0.3333 0.6667 0.2500
Be6 0.6667 0.3333 0.7500
Be7 0.1695 0.3390 0.1169
Be8 0.6610 0.8305 0.1169
Be9 0.1695 0.8305 0.1169
Be10 0.8305 0.6610 0.6169
Be11 0.3390 0.1695 0.6169
Be12 0.8305 0.1695 0.6169
Be13 0.3390 0.1695 0.8831
Be14 0.8305 0.6610 0.8831
Be15 0.8305 0.1695 0.8831
Be16 0.6610 0.8305 0.3831
Be17 0.1695 0.3390 0.3831
Be18 0.1695 0.8305 0.3831
Os1 0.3333 0.6667 0.5340
Os2 0.6667 0.3333 0.0340
Os3 0.6667 0.3333 0.4660
Os4 0.3333 0.6667 0.9660



[5]
Computed, not measured: a relaxed structure of CdHgO2 at the PBE level of DFT.

**Space group**: Cm, No. 8
**Formation energy from raw total energies**: -0.591 eV/atom

Cell: 3.6969 3.6971 6.4261 Å, 73.15 73.14 59.90°
Positions (direct):
Cd1 0.7398 0.1847 0.6790
Hg1 0.2369 0.6821 0.1870
O1 0.1107 0.5557 0.5660
O2 0.6171 0.0621 0.0465



[6]
Computed, not measured: a relaxed structure of Tm2PuRu at the PBE level of DFT.

**Space group**: P4/mmm, No. 123
**Energy of formation**: -0.2104 eV per atom

Cell: 3.3535 3.3535 8.7003 Å, 90.00 90.00 90.00°
Positions (direct):
Ru1 0.5000 0.5000 0.0000
Tm1 0.0000 0.0000 0.8121
Tm2 0.0000 0.0000 0.1879
Pu1 0.5000 0.5000 0.5000



[7]
Computed, not measured: a relaxed structure of Pr4TmSb5 at the PBE level of DFT.

**Space group**: I4/m, No. 87
**Formation energy from raw total energies**: -1.155 eV/atom

Cell: 6.3943 7.8213 7.8213 Å, 80.38 65.87 65.87°
Positions (direct):
Pr1 0.4039 0.3976 0.7964
Pr2 0.8015 0.7964 0.6024
Pr3 0.2003 0.2036 0.3976
Pr4 0.5979 0.6024 0.2036
Tm1 0.0013 0.0000 0.0000
Sb1 0.9027 0.3906 0.8059
Sb2 0.2934 0.8059 0.6094
Sb3 0.7086 0.1941 0.3906
Sb4 0.0993 0.6094 0.1941
Sb5 0.5013 0.0000 0.0000



[8]
Computed, not measured: a relaxed structure of CeSbH at the PBE level of DFT.

**Space group**: I4mm, No. 107
**DFT total energy**: -14.653 eV for the cell shown

Cell: 3.3115 3.3115 6.1528 Å, 105.61 105.61 90.00°
Positions (direct):
Sb1 0.0067 0.0067 0.0133
Ce1 0.7182 0.7182 0.4363
H1 0.2752 0.2752 0.5503